Here is an optimized crystal structure of SnH8C2I3N from Alexandria via LeMat-Bulk. Energies are from PBE.

Cell lengths 8.055, 8.975, 16.581 Å; angles 89.86, 89.52, 89.89 degrees
Fractional positions:
Sn  0.000  0.000  0.000
Sn  0.003  0.536  0.501
Sn  0.508  0.003  0.999
Sn  0.512  0.533  0.499
H  0.048  0.407  0.921
H  0.054  0.131  0.422
H  0.078  0.611  0.827
H  0.080  0.926  0.329
H  0.112  0.100  0.280
H  0.112  0.435  0.780
H  0.211  0.513  0.948
H  0.218  0.025  0.448
H  0.240  0.347  0.902
H  0.245  0.191  0.401
H  0.329  0.919  0.236
H  0.331  0.616  0.737
H  0.389  0.646  0.839
H  0.392  0.890  0.338
H  0.423  0.067  0.290
H  0.423  0.469  0.793
H  0.485  0.638  0.154
H  0.486  0.894  0.655
H  0.537  0.964  0.745
H  0.541  0.576  0.246
H  0.611  0.136  0.637
H  0.612  0.394  0.144
H  0.654  0.828  0.701
H  0.655  0.708  0.197
H  0.722  0.534  0.090
H  0.727  0.991  0.590
H  0.806  0.128  0.757
H  0.815  0.418  0.260
H  0.916  0.163  0.666
H  0.919  0.373  0.168
H  0.921  0.982  0.710
H  0.925  0.558  0.205
C  0.164  0.516  0.822
C  0.166  0.020  0.323
C  0.337  0.565  0.797
C  0.338  0.971  0.296
C  0.692  0.039  0.649
C  0.692  0.492  0.150
C  0.842  0.080  0.699
C  0.846  0.459  0.199
I  0.259  0.222  0.089
I  0.262  0.314  0.590
I  0.270  0.732  0.052
I  0.273  0.804  0.552
I  0.293  0.058  0.847
I  0.296  0.478  0.347
I  0.761  0.779  0.909
I  0.763  0.756  0.408
I  0.771  0.260  0.943
I  0.776  0.275  0.444
I  0.778  0.972  0.151
I  0.781  0.564  0.651
N  0.167  0.442  0.903
N  0.172  0.096  0.403
N  0.586  0.925  0.691
N  0.587  0.610  0.190

Output
- uncorrected energy (eV per atom) = -4.507
- total magnetic moment (μB per cell) = 0.0
- space group = P1 (1)
- calculated volume (Å³/cell) = 1199

---

Here is an optimized crystal structure of CeGdRuRh from Alexandria via LeMat-Bulk. Energies are from PBE.

Cell lengths 6.918, 6.918, 6.918 Å; angles 90.00, 90.00, 90.00 degrees
Fractional positions:
Ce  0.000  0.000  0.000
Ce  0.000  0.500  0.500
Ce  0.500  0.000  0.500
Ce  0.500  0.500  0.000
Gd  0.000  0.000  0.500
Gd  0.000  0.500  0.000
Gd  0.500  0.000  0.000
Gd  0.500  0.500  0.500
Ru  0.250  0.250  0.250
Ru  0.250  0.750  0.750
Ru  0.750  0.250  0.750
Ru  0.750  0.750  0.250
Rh  0.250  0.250  0.750
Rh  0.250  0.750  0.250
Rh  0.750  0.250  0.250
Rh  0.750  0.750  0.750

Output
- total magnetic moment (μB per cell) = 27.0
- space group = F-43m (216)
- energy relative to the elements (eV per atom) = -0.513
- calculated volume (Å³/cell) = 331

---

Here is an optimized crystal structure of CsRbTe from Alexandria via LeMat-Bulk. Energies are from PBE.

Cell lengths 5.013, 5.013, 11.230 Å; angles 90.00, 90.00, 90.00 degrees
Fractional positions:
Cs  0.000  0.000  0.000
Cs  0.500  0.500  0.500
Rb  0.000  0.000  0.691
Rb  0.500  0.500  0.191
Te  0.000  0.000  0.343
Te  0.500  0.500  0.843

Output
- total magnetic moment (μB per cell) = 0.0
- space group = I4mm (107)
- uncorrected formation energy (eV per atom) = -0.892
- calculated volume (Å³/cell) = 282

---

Here is an optimized crystal structure of Ho4Se3S from Alexandria via LeMat-Bulk. Energies are from PBE.

Cell lengths 8.095, 11.384, 3.984 Å; angles 90.00, 90.00, 90.00 degrees
Fractional positions:
Ho  0.000  0.237  0.000
Ho  0.000  0.763  0.000
Ho  0.228  0.000  0.500
Ho  0.272  0.500  0.500
Ho  0.500  0.263  0.000
Ho  0.500  0.737  0.000
Ho  0.728  0.500  0.500
Ho  0.772  0.000  0.500
Se  0.000  0.500  0.000
Se  0.250  0.250  0.500
Se  0.250  0.750  0.500
Se  0.500  0.000  0.000
Se  0.750  0.250  0.500
Se  0.750  0.750  0.500
S  0.000  0.000  0.000
S  0.500  0.500  0.000

Output
- total magnetic moment (μB per cell) = 0.0
- space group = Cmmm (65)
- uncorrected formation energy (eV per atom) = -1.790
- calculated volume (Å³/cell) = 367

---

Here is an optimized crystal structure of PrNd5P6 from Alexandria via LeMat-Bulk. Energies are from PBE.

Cell lengths 7.230, 7.230, 7.231 Å; angles 99.60, 99.60, 119.98 degrees
Fractional positions:
Pr  0.000  0.000  0.000
Nd  0.167  0.833  0.500
Nd  0.333  0.667  0.000
Nd  0.500  0.500  0.500
Nd  0.667  0.333  0.000
Nd  0.833  0.167  0.500
P  0.084  0.418  0.251
P  0.251  0.251  0.749
P  0.418  0.084  0.251
P  0.582  0.916  0.749
P  0.749  0.749  0.251
P  0.916  0.582  0.749

Output
- total magnetic moment (μB per cell) = 0.0
- space group = C2/m (12)
- energy relative to the elements (eV per atom) = -1.536
- calculated volume (Å³/cell) = 309

---

Here is an optimized crystal structure of Ba3Tl2Pb from Alexandria via LeMat-Bulk. Energies are from PBE.

Cell lengths 6.104, 6.104, 14.943 Å; angles 90.00, 90.00, 120.00 degrees
Fractional positions:
Ba  0.000  0.000  0.249
Ba  0.000  0.000  0.751
Ba  0.333  0.667  0.413
Ba  0.333  0.667  0.913
Ba  0.667  0.333  0.087
Ba  0.667  0.333  0.587
Tl  0.000  0.000  0.000
Tl  0.000  0.000  0.500
Tl  0.333  0.667  0.159
Tl  0.667  0.333  0.841
Pb  0.333  0.667  0.662
Pb  0.667  0.333  0.338

Output
- total magnetic moment (μB per cell) = 0.0
- space group = P-3m1 (164)
- energy relative to the elements (eV per atom) = -0.442
- calculated volume (Å³/cell) = 482

---

Here is an optimized crystal structure of Sr4AgPd from Alexandria via LeMat-Bulk. Energies are from PBE.

Cell lengths 8.983, 8.983, 7.253 Å; angles 108.77, 108.77, 111.20 degrees
Fractional positions:
Sr  0.053  0.702  0.904
Sr  0.234  0.353  0.730
Sr  0.298  0.947  0.596
Sr  0.353  0.234  0.230
Sr  0.647  0.766  0.770
Sr  0.702  0.053  0.404
Sr  0.766  0.647  0.270
Sr  0.947  0.298  0.096
Ag  0.365  0.635  0.250
Ag  0.635  0.365  0.750
Pd  0.001  0.999  0.750
Pd  0.999  0.001  0.250

Output
- total magnetic moment (μB per cell) = 0.0
- space group = C2/c (15)
- energy relative to the elements (eV per atom) = -0.328
- calculated volume (Å³/cell) = 449

---

Here is an optimized crystal structure of ScIN2F from Alexandria via LeMat-Bulk. Energies are from PBE.

Cell lengths 4.214, 4.214, 4.365 Å; angles 90.00, 90.00, 90.00 degrees
Fractional positions:
Sc  0.000  0.000  0.000
I  0.500  0.500  0.500
N  0.000  0.500  0.500
N  0.500  0.000  0.500
F  0.500  0.500  0.000

Output
- total magnetic moment (μB per cell) = 0.4
- space group = P4/mmm (123)
- uncorrected formation energy (eV per atom) = 0.714
- calculated volume (Å³/cell) = 77

---

Here is an optimized crystal structure of NaNdRu2O8 from Alexandria via LeMat-Bulk. Energies are from PBE.

Cell lengths 6.002, 6.002, 7.039 Å; angles 90.00, 90.00, 120.00 degrees
Fractional positions:
Na  0.000  0.000  0.000
Nd  0.000  0.000  0.500
Ru  0.333  0.667  0.808
Ru  0.667  0.333  0.192
O  0.169  0.338  0.721
O  0.169  0.831  0.721
O  0.333  0.667  0.055
O  0.338  0.169  0.279
O  0.662  0.831  0.721
O  0.667  0.333  0.945
O  0.831  0.169  0.279
O  0.831  0.662  0.279

Output
- total magnetic moment (μB per cell) = 4.0
- space group = P-3m1 (164)
- uncorrected formation energy (eV per atom) = -1.402
- calculated volume (Å³/cell) = 220

---

Here is an optimized crystal structure of PtW3 from Alexandria via LeMat-Bulk. Energies are from PBE.

Cell lengths 3.333, 4.337, 8.839 Å; angles 90.00, 90.00, 90.00 degrees
Fractional positions:
Pt  0.000  0.000  0.000
Pt  0.500  0.500  0.000
W  0.000  0.000  0.500
W  0.000  0.500  0.247
W  0.000  0.500  0.753
W  0.500  0.000  0.247
W  0.500  0.000  0.753
W  0.500  0.500  0.500

Output
- total magnetic moment (μB per cell) = 0.0
- space group = Cmmm (65)
- energy relative to the elements (eV per atom) = -0.018
- calculated volume (Å³/cell) = 128

---

Here is an optimized crystal structure of Dy12MgPd6 from Alexandria via LeMat-Bulk. Energies are from PBE.

Cell lengths 8.655, 8.655, 8.655 Å; angles 109.47, 109.47, 109.47 degrees
Fractional positions:
Dy  0.115  0.817  0.298
Dy  0.183  0.298  0.481
Dy  0.183  0.702  0.885
Dy  0.298  0.115  0.817
Dy  0.298  0.481  0.183
Dy  0.481  0.183  0.298
Dy  0.519  0.817  0.702
Dy  0.702  0.519  0.817
Dy  0.702  0.885  0.183
Dy  0.817  0.298  0.115
Dy  0.817  0.702  0.519
Dy  0.885  0.183  0.702
Mg  0.000  0.000  0.000
Pd  0.136  0.636  0.500
Pd  0.364  0.500  0.864
Pd  0.500  0.136  0.636
Pd  0.500  0.864  0.364
Pd  0.636  0.500  0.136
Pd  0.864  0.364  0.500

Output
- total magnetic moment (μB per cell) = 0.0
- space group = Im-3 (204)
- energy relative to the elements (eV per atom) = -0.550
- calculated volume (Å³/cell) = 499

---

Here is an optimized crystal structure of CrAgRu2 from Alexandria via LeMat-Bulk. Energies are from PBE.

Cell lengths 2.865, 4.559, 9.158 Å; angles 90.00, 90.00, 90.00 degrees
Fractional positions:
Cr  0.000  0.000  0.000
Cr  0.500  0.500  0.500
Ag  0.000  0.500  0.237
Ag  0.500  0.000  0.737
Ru  0.000  0.000  0.462
Ru  0.000  0.500  0.725
Ru  0.500  0.000  0.225
Ru  0.500  0.500  0.962

Output
- total magnetic moment (μB per cell) = 3.5
- space group = Imm2 (44)
- energy relative to the elements (eV per atom) = 0.540
- calculated volume (Å³/cell) = 120